Density functional theory data (PBE-GGA) for a relaxed structure of Cs2PbOF6.

a b c (Å): 6.8682 6.8682 6.8682
angles (deg): 122.42 122.42 85.86
Last column: nearest neighbours and their distance in Å.
Fractional positions:
Cs 0.2500 0.7500 0.5000  12 F 3.33-3.44
Cs 0.7500 0.2500 0.5000  12 F 3.33-3.44
Pb 0.0000 0.0000 0.0000  6 F 2.10-2.11
O 0.5000 0.5000 0.0000  4 F 2.57
F 0.2092 0.2092 0.0000  1 Pb 2.10
F 0.2252 0.2252 0.4504  1 Pb 2.11
F 0.2252 0.7748 0.0000  1 Pb 2.11
F 0.7748 0.2252 0.0000  1 Pb 2.11
F 0.7748 0.7748 0.5496  1 Pb 2.11
F 0.7908 0.7908 0.0000  1 Pb 2.10

The space group is I4/mmm (139).

Density functional theory data (PBE-GGA) for a relaxed structure of CsPdO2F.

a b c (Å): 4.3039 4.3039 5.4800
angles (deg): 90.00 90.00 90.00
Last column: nearest neighbours and their distance in Å.
Fractional positions:
Cs 0.0000 0.0000 0.0000  4 O 2.15
Pd 0.5000 0.5000 0.5000  4 F 3.04
O 0.0000 0.5000 0.0000  2 Cs 2.15
O 0.5000 0.0000 0.0000  2 Cs 2.15
F 0.0000 0.0000 0.5000  2 Cs 2.74, 4 Pd 3.04

The space group is P4/mmm (123).

Density functional theory data (PBE-GGA) for a relaxed structure of CsPdO2F.

a b c (Å): 4.0044 4.0044 5.2491
angles (deg): 90.00 90.00 90.00
Last column: nearest neighbours and their distance in Å.
Fractional positions:
Cs 0.0000 0.0000 0.0000  4 F 2.83
Pd 0.5000 0.5000 0.5000  4 O 2.00
O 0.0000 0.5000 0.5000  2 Pd 2.00
O 0.5000 0.0000 0.5000  2 Pd 2.00
F 0.5000 0.5000 0.0000  2 Pd 2.62, 4 Cs 2.83

The space group is P4/mmm (123).

Density functional theory data (PBE-GGA) for a relaxed structure of CsPmOF2.

a b c (Å): 4.7422 4.7422 4.5386
angles (deg): 90.00 90.00 90.00
Last column: nearest neighbours and their distance in Å.
Fractional positions:
Cs 0.0000 0.0000 0.0000  8 F 3.28, 4 O 3.35
Pm 0.5000 0.5000 0.5000  2 O 2.27, 4 F 2.37
O 0.5000 0.5000 0.0000  2 Pm 2.27
F 0.0000 0.5000 0.5000  2 Pm 2.37
F 0.5000 0.0000 0.5000  2 Pm 2.37

The space group is P4/mmm (123).

Density functional theory data (PBE-GGA) for a relaxed structure of Cs2PtOF6.

a b c (Å): 6.6919 6.6919 6.6919
angles (deg): 122.35 122.35 85.98
Last column: nearest neighbours and their distance in Å.
Fractional positions:
Cs 0.2500 0.7500 0.5000  12 F 3.26-3.36
Cs 0.7500 0.2500 0.5000  12 F 3.26-3.36
Pt 0.0000 0.0000 0.0000  6 F 1.98
O 0.5000 0.5000 0.0000  4 F 2.58
F 0.2020 0.2020 0.0000  1 Pt 1.98
F 0.2169 0.2169 0.4338  1 Pt 1.98
F 0.2169 0.7831 0.0000  1 Pt 1.98
F 0.7831 0.2169 0.0000  1 Pt 1.98
F 0.7831 0.7831 0.5662  1 Pt 1.98
F 0.7980 0.7980 0.0000  1 Pt 1.98

The space group is I4/mmm (139).

Density functional theory data (PBE-GGA) for a relaxed structure of CsPtOF2.

a b c (Å): 5.1692 5.1692 4.3064
angles (deg): 90.00 90.00 90.00
Last column: nearest neighbours and their distance in Å.
Fractional positions:
Cs 0.0000 0.0000 0.0000  2 O 2.15
Pt 0.5000 0.5000 0.5000  8 F 3.36, 4 O 3.66
O 0.0000 0.0000 0.5000  2 Cs 2.15
F 0.0000 0.5000 0.0000  2 Cs 2.58
F 0.5000 0.0000 0.0000  2 Cs 2.58

The offset from the most stable computed form comes out at 8.66 eV per formula unit. The space group is P4/mmm (123).

These records have DFT total energy values of -0.2979, -0.2201, -0.3280, -0.4454, -0.2982, -0.2006 Ry per atom, in the order they appear.